16
Lattice="0.000 5.650 9.611 2.594 0.000 9.611 2.594 5.650 0.000" Properties=species:S:1:pos:R:3 comment="K2BPdO4, relaxed, DFT GGA-PBE" crystal_system=orthorhombic e_tot_ev_per_atom=-5.584 pbc="T T T"
K 1.945 4.238 1.025
K 3.242 7.063 5.830
K 1.945 4.238 13.392
K 3.242 7.063 18.197
B 1.945 4.238 7.208
B 3.242 7.063 12.014
Pd 0.648 1.413 2.403
Pd 4.539 9.888 16.819
O 2.884 3.316 6.509
O 2.884 5.159 7.907
O 4.181 6.141 12.712
O 4.181 7.984 11.315
O 1.007 3.316 7.907
O 1.007 5.159 6.509
O 2.304 6.141 11.315
O 2.304 7.984 12.712

***

11
Lattice="5.655 0.000 0.000 -2.827 4.897 0.000 0.000 0.000 6.998" Properties=species:S:1:pos:R:3 comment="KPm2B2O6, relaxed, DFT GGA-PBE" crystal_system=trigonal e_tot_ev_per_atom=-7.362 pbc="T T T"
K 0.000 0.000 0.000
Pm 0.000 3.265 2.383
Pm 2.827 1.632 4.615
B 0.000 3.265 5.086
B 2.827 1.632 1.912
O -1.384 3.310 4.976
O 0.653 2.043 4.976
O 2.096 0.456 2.022
O 0.731 4.441 4.976
O 2.174 2.854 2.022
O 4.211 1.587 2.022

***

12
Lattice="5.647 0.000 0.000 -2.823 4.890 0.000 0.000 0.000 6.990" Properties=species:S:1:pos:R:3 comment="K3PmB2O6, relaxed, DFT GGA-PBE" crystal_system=trigonal e_tot_ev_per_atom=-6.722 pbc="T T T"
K 0.000 0.000 0.000
K 0.000 3.260 5.208
K 2.823 1.630 1.782
Pm 0.000 0.000 3.495
B 0.000 3.260 2.044
B 2.823 1.630 4.946
O 0.000 1.865 2.051
O -1.208 3.958 2.051
O 1.615 0.932 4.939
O 1.208 3.958 2.051
O 4.032 0.932 4.939
O 2.823 3.025 4.939